The following is a GGA-PBE calculation of an optimized crystal structure of Fe2Cu2Cl7, from the Alexandria database.

```
Fe2Cu2Cl7
1.0
4.821 -5.336 0.000
4.821 5.336 0.000
-4.537 0.000 12.312
Fe Cu Cl
4 4 14
Direct
0.031 0.381 0.296
0.381 0.031 0.796
0.619 0.969 0.204
0.969 0.619 0.704
0.128 0.193 0.546
0.193 0.128 0.046
0.807 0.872 0.954
0.872 0.807 0.454
0.122 0.677 0.416
0.129 0.396 0.147
0.168 0.169 0.878
0.169 0.168 0.378
0.303 0.697 0.750
0.323 0.878 0.084
0.396 0.129 0.647
0.604 0.871 0.353
0.677 0.122 0.916
0.697 0.303 0.250
0.831 0.832 0.622
0.832 0.831 0.122
0.871 0.604 0.853
0.878 0.323 0.584
```

Properties
As for the density: 2.553 g cm⁻³. For the formation energy (no corrections), the calculation gives -15.00 kcal/mol of atoms. The space-group type is C2/c (15). Its total moment is 18.0 Bohr magnetons per cell.